The following is a DFT calculation (PBE) of NpAs2Pd6 after structural relaxation.

Properties
N(E_F) = 14.36 states/eV per cell
formation enthalpy at 0 K = -1.84 eV/f.u.
mass density = 9.5 g/cm3

Cell: 5.5812 5.5812 6.6237 Å, 90.00 90.00 120.00°
Last column: magnetic moment on the atom in μB.
Element x y z (fractional)
Pd (0.5002, 0.5002, 0.7912)  -0.05
Pd (0.4998, 0.4998, 0.2088)  -0.05
Pd (0.0000, 0.4998, 0.7912)  -0.05
Pd (0.0000, 0.5002, 0.2088)  -0.05
As (0.6667, 0.3333, 0.5000)  -0.01
Np (0.0000, 0.0000, 0.0000)  3.82
Pd (0.4998, 0.0000, 0.7912)  -0.05
As (0.3333, 0.6667, 0.5000)  -0.01
Pd (0.5002, 0.0000, 0.2088)  -0.05